1.
Here is ReAgRh2 after structural relaxation from Alexandria via LeMat-Bulk. Energies are from PBE-GGA.

Total DFT energy (no corrections) in eV for the cell shown: -28.972
Energy of formation from the pure elements in eV/atom: 0.2575
SG: No. 99
Energy above the most stable polymorph in this dataset in meV/atom: 263
Calculated volume in Å³/cell: 61

a = 2.7255 Å, b = 2.7255 Å, c = 8.1540 Å
α = 90.00°, β = 90.00°, γ = 90.00°
With the nearest neighbours (Å) after each atom.
Element x y z (fractional)
Re 0.0000 0.0000 0.0000  4 Rh 2.68, 4 Re 2.73, 4 Ag 2.92
Ag 0.5000 0.5000 0.7310  4 Ag 2.73, 4 Rh 2.86, 4 Re 2.92
Rh 0.0000 0.0000 0.4711  8 Rh 2.73-2.76, 4 Ag 2.86
Rh 0.5000 0.5000 0.2285  4 Re 2.68, 8 Rh 2.73-2.76



2.
Here is SmAs2Pd2 after structural relaxation from Alexandria via LeMat-Bulk. Energies are from PBE-GGA.

Total DFT energy (no corrections) in eV for the cell shown: -57.137
Energy of formation from the pure elements in eV/atom: -0.8329
SG: No. 36
Calculated volume in Å³/cell: 193

a = 6.1966 Å, b = 6.1966 Å, c = 7.9311 Å
α = 90.00°, β = 90.00°, γ = 140.76°
With the nearest neighbours (Å) after each atom.
Element x y z (fractional)
Sm 0.0957 0.9043 0.5000  5 As 3.02-3.20, 1 Pd 3.09
Sm 0.9043 0.0957 0.0000  5 As 3.02-3.20, 1 Pd 3.09
As 0.2363 0.7637 0.8194  5 Pd 2.56-2.69, 1 As 2.70
As 0.4432 0.5568 0.6674  4 Pd 2.45-2.60, 1 As 2.70
As 0.5568 0.4432 0.1674  4 Pd 2.45-2.60, 1 As 2.70
As 0.7637 0.2363 0.3194  5 Pd 2.56-2.69, 1 As 2.70
Pd 0.1883 0.8117 0.1348  5 As 2.56-2.69
Pd 0.3894 0.6106 0.3545  4 As 2.45-2.56
Pd 0.6106 0.3894 0.8545  4 As 2.45-2.56
Pd 0.8117 0.1883 0.6348  5 As 2.56-2.69



3.
Here is Mg2NbO after structural relaxation from Alexandria via LeMat-Bulk. Energies are from PBE-GGA.

Total DFT energy (no corrections) in eV for the cell shown: -39.591
SG: No. 122
Calculated volume in Å³/cell: 144

a = 5.8340 Å, b = 5.8340 Å, c = 5.8340 Å
α = 117.98°, β = 117.98°, γ = 93.54°
With the nearest neighbours (Å) after each atom.
Element x y z (fractional)
Mg 0.3750 0.2326 0.3576  2 O 1.92
Mg 0.7674 0.1250 0.1424  2 O 1.92
Mg 0.8750 0.0174 0.6424  2 O 1.92
Mg 0.9826 0.6250 0.8576  2 O 1.92
Nb 0.2500 0.7500 0.5000  4 Mg 2.97
Nb 0.5000 0.5000 0.0000  4 Mg 2.97
O 0.0000 0.0000 0.0000  4 Mg 1.92
O 0.7500 0.2500 0.5000  4 Mg 1.92



4.
Here is Pm3PaIr3 after structural relaxation from Alexandria via LeMat-Bulk. Energies are from PBE-GGA.

Total DFT energy (no corrections) in eV for the cell shown: -109.569
Energy of formation from the pure elements in eV/atom: -0.6362
SG: No. 12
Energy above the most stable polymorph in this dataset in meV/atom: 48
Calculated volume in Å³/cell: 355

a = 7.2744 Å, b = 7.2744 Å, c = 7.1255 Å
α = 101.23°, β = 101.23°, γ = 76.40°
With the nearest neighbours (Å) after each atom.
Element x y z (fractional)
Pm 0.2008 0.7992 0.0000  4 Ir 2.91-3.06
Pm 0.2837 0.2837 0.0063  5 Ir 2.95-3.09
Pm 0.2926 0.7074 0.5000  4 Ir 2.96-3.01
Pm 0.7074 0.2926 0.5000  4 Ir 2.96-3.01
Pm 0.7163 0.7163 0.9937  5 Ir 2.95-3.09
Pm 0.7992 0.2008 0.0000  4 Ir 2.91-3.06
Pa 0.2022 0.2022 0.4609  6 Ir 2.69-2.87
Pa 0.7978 0.7978 0.5391  6 Ir 2.69-2.87
Ir 0.0032 0.5046 0.7172  2 Pa 2.69-2.87, 1 Pm 2.96
Ir 0.0514 0.0514 0.7106  2 Pa 2.77-2.85, 5 Pm 2.91-3.01, 1 Ir 2.94
Ir 0.4954 0.9968 0.2828  2 Pa 2.69-2.87, 1 Pm 2.96
Ir 0.5046 0.0032 0.7172  2 Pa 2.69-2.87, 1 Pm 2.96
Ir 0.9486 0.9486 0.2894  2 Pa 2.77-2.85, 5 Pm 2.91-3.01, 1 Ir 2.94
Ir 0.9968 0.4954 0.2828  2 Pa 2.69-2.87, 1 Pm 2.96



5.
Here is MnAgAu after structural relaxation from Alexandria via LeMat-Bulk. Energies are from PBE-GGA.

Total DFT energy (no corrections) in eV for the cell shown: -28.891
Energy of formation from the pure elements in eV/atom: 0.2842
SG: No. 11
Energy above the most stable polymorph in this dataset in meV/atom: 266
Calculated volume in Å³/cell: 95

a = 4.6068 Å, b = 2.8750 Å, c = 7.4465 Å
α = 90.00°, β = 105.49°, γ = 90.00°
With the nearest neighbours (Å) after each atom.
Element x y z (fractional)
Mn 0.0808 0.2500 0.1006  2 Mn 2.07
Mn 0.9192 0.7500 0.8994  2 Mn 2.07
Ag 0.2260 0.7500 0.4417  6 Ag 2.83-2.87, 2 Mn 2.84, 4 Au 2.94-3.03
Ag 0.7740 0.2500 0.5583  6 Ag 2.83-2.87, 2 Mn 2.84, 4 Au 2.94-3.03
Au 0.3835 0.2500 0.8129  5 Mn 2.78-2.85, 4 Au 2.87-3.06, 4 Ag 2.94-3.03
Au 0.6165 0.7500 0.1871  5 Mn 2.78-2.85, 4 Au 2.87-3.06, 4 Ag 2.94-3.03



6.
Here is La2InH2 after structural relaxation from Alexandria via LeMat-Bulk. Energies are from PBE-GGA.

Total DFT energy (no corrections) in eV for the cell shown: -22.369
SG: No. 139
Energy above the most stable polymorph in this dataset in meV/atom: 0
Calculated volume in Å³/cell: 106

a = 6.8924 Å, b = 6.8924 Å, c = 6.8924 Å
α = 145.31°, β = 145.31°, γ = 49.87°
With the nearest neighbours (Å) after each atom.
Element x y z (fractional)
La 0.1495 0.1495 0.0000  4 H 2.41
La 0.8505 0.8505 0.0000  4 H 2.41
In 0.5000 0.5000 0.0000  8 La 3.45, 8 H 3.74
H 0.2500 0.7500 0.5000  4 La 2.41
H 0.7500 0.2500 0.5000  4 La 2.41



7.
Here is CaAcYMg after structural relaxation from Alexandria via LeMat-Bulk. Energies are from PBE-GGA.

Total DFT energy (no corrections) in eV for the cell shown: -14.212
Energy of formation from the pure elements in eV/atom: -0.0109
SG: No. 99
Energy above the most stable polymorph in this dataset in meV/atom: 0
Calculated volume in Å³/cell: 141

a = 3.8224 Å, b = 3.8224 Å, c = 9.6521 Å
α = 90.00°, β = 90.00°, γ = 90.00°
With the nearest neighbours (Å) after each atom.
Element x y z (fractional)
Ca 0.0000 0.0000 0.0000  4 Mg 3.44, 4 Ca 3.82
Ac 0.5000 0.5000 0.3126  4 Y 3.74, 4 Ac 3.82, 4 Ca 4.05
Y 0.0000 0.0000 0.5808  4 Mg 3.31
Mg 0.5000 0.5000 0.7792  4 Y 3.31, 4 Ca 3.44



8.
Here is Ba2Be2As2P after structural relaxation from Alexandria via LeMat-Bulk. Energies are from PBE-GGA.

Total DFT energy (no corrections) in eV for the cell shown: -30.331
Energy of formation from the pure elements in eV/atom: -0.6178
SG: No. 12
Calculated volume in Å³/cell: 166

a = 6.5348 Å, b = 6.5348 Å, c = 7.9733 Å
α = 123.74°, β = 123.74°, γ = 37.09°
With the nearest neighbours (Å) after each atom.
Element x y z (fractional)
Ba 0.0532 0.0532 0.3231  2 P 3.07
Ba 0.9468 0.9468 0.6769  2 P 3.07
Be 0.3056 0.3056 0.9411  1 P 2.17, 3 As 2.39-2.43
Be 0.6944 0.6944 0.0589  1 P 2.17, 3 As 2.39-2.43
As 0.3013 0.3013 0.2372  3 Be 2.39-2.43
As 0.6987 0.6987 0.7628  3 Be 2.39-2.43
P 0.5000 0.5000 0.0000  2 Be 2.17



9.
Here is VGa3Ir4 after structural relaxation from Alexandria via LeMat-Bulk. Energies are from PBE-GGA.

Total DFT energy (no corrections) in eV for the cell shown: -57.026
Energy of formation from the pure elements in eV/atom: -0.4229
SG: No. 139
Calculated volume in Å³/cell: 114

a = 7.4979 Å, b = 7.4979 Å, c = 7.4979 Å
α = 148.57°, β = 148.57°, γ = 45.05°
With the nearest neighbours (Å) after each atom.
Element x y z (fractional)
V 0.0000 0.0000 0.0000  8 Ir 2.65, 4 Ga 2.87
Ga 0.2521 0.2521 0.0000  8 Ir 2.67-2.71, 4 Ga 2.87
Ga 0.5000 0.5000 0.0000  8 Ir 2.65, 4 V 2.87
Ga 0.7479 0.7479 0.0000  8 Ir 2.67-2.71, 4 Ga 2.87
Ir 0.1227 0.6227 0.5000  6 Ga 2.65-2.71, 2 V 2.65, 4 Ir 2.87
Ir 0.3773 0.8773 0.5000  2 V 2.65, 6 Ga 2.65-2.71, 4 Ir 2.87
Ir 0.6227 0.1227 0.5000  6 Ga 2.65-2.71, 2 V 2.65, 4 Ir 2.87
Ir 0.8773 0.3773 0.5000  2 V 2.65, 6 Ga 2.65-2.71, 4 Ir 2.87



10.
Here is Ba2AcTcO8 after structural relaxation from Alexandria via LeMat-Bulk. Energies are from PBE-GGA.

Total DFT energy (no corrections) in eV for the cell shown: -79.691
SG: No. 164
Calculated volume in Å³/cell: 200

a = 5.8516 Å, b = 5.8516 Å, c = 6.7562 Å
α = 90.00°, β = 90.00°, γ = 120.00°
With the nearest neighbours (Å) after each atom.
Element x y z (fractional)
Ba 0.3333 0.6667 0.3645  1 O 2.35
Ba 0.6667 0.3333 0.6355  1 O 2.35
Ac 0.0000 0.0000 0.0000  6 O 2.70
Tc 0.0000 0.0000 0.5000  6 O 1.90
O 0.1496 0.2992 0.6700  1 Tc 1.90
O 0.1496 0.8504 0.6700  1 Tc 1.90
O 0.2992 0.1496 0.3300  1 Tc 1.90
O 0.3333 0.6667 0.0170  1 Ba 2.35
O 0.6667 0.3333 0.9830  1 Ba 2.35
O 0.7008 0.8504 0.6700  1 Tc 1.90
O 0.8504 0.1496 0.3300  1 Tc 1.90
O 0.8504 0.7008 0.3300  1 Tc 1.90



11.
Here is Re2SiTc after structural relaxation from Alexandria via LeMat-Bulk. Energies are from PBE-GGA.

Total DFT energy (no corrections) in eV for the cell shown: -40.225
SG: No. 65
Calculated volume in Å³/cell: 58

a = 4.7141 Å, b = 4.7141 Å, c = 2.8543 Å
α = 90.00°, β = 90.00°, γ = 114.48°
With the nearest neighbours (Å) after each atom.
Element x y z (fractional)
Re 0.0000 0.5000 0.0000  4 Re 2.55-2.85, 4 Tc 2.76, 4 Si 2.76
Re 0.5000 0.0000 0.0000  4 Re 2.55-2.85, 4 Tc 2.76, 4 Si 2.76
Si 0.0000 0.0000 0.5000  2 Tc 2.55, 8 Re 2.76, 2 Si 2.85
Tc 0.5000 0.5000 0.5000  2 Si 2.55, 8 Re 2.76, 2 Tc 2.85



12.
Here is CrMo2Pb after structural relaxation from Alexandria via LeMat-Bulk. Energies are from PBE-GGA.

Total DFT energy (no corrections) in eV for the cell shown: -32.513
Energy of formation from the pure elements in eV/atom: 0.6202
SG: No. 160
Calculated volume in Å³/cell: 74

a = 9.0335 Å, b = 9.0335 Å, c = 9.0335 Å
α = 19.78°, β = 19.78°, γ = 19.78°
With the nearest neighbours (Å) after each atom.
Element x y z (fractional)
Cr 0.0000 0.0000 0.0000  3 Mo 2.63
Mo 0.2608 0.2608 0.2608  3 Mo 2.61, 3 Cr 2.63
Mo 0.5225 0.5225 0.5225  3 Mo 2.61
Pb 0.7611 0.7611 0.7611  3 Cr 3.08, 3 Mo 3.09, 6 Pb 3.10



| no. | total magnetization (Bohr magnetons per cell) |
| --- | --- |
| 1 | 0.00 |
| 2 | 0.00 |
| 3 | 0.00 |
| 4 | 0.00 |
| 5 | 0.14 |
| 6 | 0.00 |
| 7 | 0.00 |
| 8 | 0.00 |
| 9 | 0.28 |
| 10 | 2.00 |
| 11 | 0.00 |
| 12 | 2.84 |